Entry 1:
## CsSb2Br6 (PBE)

Data for a relaxed structure of CsSb2Br6.

Results
Its uncorrected formation energy is -0.745 eV/atom. For the magnetic moment, the calculation gives 0.00 Bohr magnetons per cell. The excess energy over the best structure of this formula in the dataset comes out at 57 meV per atom. The total energy is -25.837 eV per formula unit.

a b c (Å): 7.693 7.822 7.822
angles (deg): 120.00 90.00 90.00
Fractional positions:
Br: 0.701 0.000 0.373
Br: 0.299 0.627 0.000
Br: 0.299 0.000 0.627
Br: 0.299 0.373 0.373
Br: 0.701 0.373 0.000
Br: 0.701 0.627 0.627
Sb: 0.500 0.667 0.333
Sb: 0.500 0.333 0.667
Cs: 0.000 0.000 0.000

=====

Entry 2:
## PmNd6Ho5 (PBE)

Data for a relaxed structure of PmNd6Ho5.

Results
As for the formation energy: 15.9 meV per atom. For the magnetic moment, the calculation gives 0.00 Bohr magnetons per cell. The excess energy over the best structure of this formula in the dataset comes out at 3 meV per atom. The total energy is -56.056 eV per formula unit.

a b c (Å): 5.132 10.147 9.553
angles (deg): 122.08 105.57 90.00
Fractional positions:
Nd: 0.500 0.748 0.000
Nd: 0.833 0.084 0.666
Nd: 0.833 0.582 0.666
Nd: 0.167 0.418 0.334
Nd: 0.167 0.916 0.334
Nd: 0.500 0.252 0.000
Ho: 0.333 0.833 0.665
Ho: 0.667 0.667 0.334
Ho: 0.667 0.167 0.335
Ho: 0.333 0.333 0.666
Ho: 0.000 0.500 0.000
Pm: 0.000 0.000 0.000

=====

Entry 3:
## BaTl2Ge2O6 (PBE)

Data for a relaxed structure of BaTl2Ge2O6.

Results
Its uncorrected formation energy is -1.469 eV/atom. For the magnetic moment, the calculation gives 0.00 Bohr magnetons per cell. The total energy is -61.798 eV per formula unit.

a b c (Å): 6.320 6.320 7.839
angles (deg): 66.23 66.23 60.00
Fractional positions:
O: 0.734 0.734 0.267
O: 0.265 0.734 0.267
O: 0.734 0.265 0.267
O: 0.266 0.266 0.733
O: 0.266 0.735 0.733
O: 0.735 0.266 0.733
Tl: 0.811 0.811 0.566
Tl: 0.189 0.189 0.434
Ge: 0.422 0.422 0.734
Ge: 0.578 0.578 0.266
Ba: 0.000 0.000 0.000

=====

Entry 4:
## In2AgSe2 (PBE)

Data for a relaxed structure of In2AgSe2.

Results
Its uncorrected formation energy is -0.104 eV/atom. For the magnetic moment, the calculation gives 0.00 Bohr magnetons per cell. The excess energy over the best structure of this formula in the dataset comes out at 8 meV per atom. The total energy is -15.819 eV per formula unit.

a b c (Å): 5.479 5.479 5.822
angles (deg): 61.93 61.93 90.00
Fractional positions:
Se: 0.750 0.250 0.500
Se: 0.250 0.750 0.500
Ag: 0.000 0.000 0.000
In: 0.662 0.662 0.676
In: 0.338 0.338 0.324

=====

Entry 5:
## Ac3Nb5O12 (PBE)

Data for a relaxed structure of Ac3Nb5O12.

Results
Its uncorrected formation energy is -2.377 eV/atom. For the magnetic moment, the calculation gives 0.01 Bohr magnetons per cell. The total energy is -169.708 eV per formula unit.

a b c (Å): 11.673 11.673 11.673
angles (deg): 109.47 109.47 109.47
Fractional positions:
Nb: 0.875 0.625 0.750
Nb: 0.000 0.500 0.000
Nb: 0.375 0.125 0.750
Nb: 0.750 0.625 0.375
Nb: 0.125 0.375 0.250
Nb: 0.000 0.000 0.500
Nb: 0.000 0.500 0.500
Nb: 0.500 0.000 0.000
Nb: 0.500 0.500 0.000
Nb: 0.125 0.750 0.375
Nb: 0.375 0.250 0.125
Nb: 0.500 0.000 0.500
Nb: 0.625 0.750 0.875
Nb: 0.750 0.125 0.875
Nb: 0.000 0.000 0.000
Nb: 0.250 0.375 0.625
Nb: 0.500 0.500 0.500
Nb: 0.625 0.875 0.250
Nb: 0.875 0.250 0.625
Nb: 0.250 0.875 0.125
O: 0.180 0.095 0.982
O: 0.982 0.595 0.180
O: 0.084 0.905 0.387
O: 0.680 0.197 0.584
O: 0.887 0.303 0.482
O: 0.405 0.387 0.584
O: 0.820 0.916 0.303
O: 0.613 0.595 0.916
O: 0.697 0.113 0.018
O: 0.405 0.018 0.320
O: 0.820 0.905 0.018
O: 0.697 0.584 0.180
O: 0.320 0.518 0.405
O: 0.905 0.820 0.518
O: 0.095 0.916 0.113
O: 0.905 0.084 0.887
O: 0.018 0.405 0.820
O: 0.982 0.387 0.303
O: 0.803 0.320 0.916
O: 0.613 0.018 0.197
O: 0.916 0.095 0.613
O: 0.887 0.584 0.905
O: 0.113 0.416 0.095
O: 0.303 0.887 0.982
O: 0.084 0.180 0.197
O: 0.518 0.320 0.905
O: 0.387 0.405 0.084
O: 0.584 0.697 0.680
O: 0.303 0.416 0.820
O: 0.803 0.482 0.387
O: 0.416 0.113 0.595
O: 0.584 0.887 0.405
O: 0.197 0.680 0.084
O: 0.197 0.518 0.613
O: 0.095 0.180 0.482
O: 0.416 0.303 0.320
O: 0.595 0.613 0.416
O: 0.113 0.697 0.518
O: 0.518 0.197 0.113
O: 0.680 0.482 0.595
O: 0.018 0.613 0.697
O: 0.387 0.982 0.803
O: 0.482 0.680 0.095
O: 0.916 0.820 0.803
O: 0.595 0.982 0.680
O: 0.180 0.084 0.697
O: 0.482 0.803 0.887
O: 0.320 0.803 0.416
Ac: 0.750 0.875 0.625
Ac: 0.375 0.750 0.625
Ac: 0.375 0.625 0.250
Ac: 0.125 0.875 0.750
Ac: 0.625 0.250 0.375
Ac: 0.250 0.125 0.375
Ac: 0.125 0.250 0.875
Ac: 0.750 0.375 0.125
Ac: 0.875 0.750 0.125
Ac: 0.625 0.375 0.750
Ac: 0.875 0.125 0.250
Ac: 0.250 0.625 0.875

=====

Entry 6:
## Np2Mo2N3 (PBE)

Data for a relaxed structure of Np2Mo2N3.

Results
Its uncorrected formation energy is -0.703 eV/atom. For the magnetic moment, the calculation gives 6.11 Bohr magnetons per cell. The total energy is -77.438 eV per formula unit.

a b c (Å): 3.185 5.593 6.054
angles (deg): 110.98 105.25 90.00
Fractional positions:
N: 0.247 0.757 0.494
N: 0.753 0.243 0.506
N: 0.000 0.000 0.000
Mo: 0.843 0.652 0.687
Mo: 0.157 0.348 0.313
Np: 0.604 0.824 0.208
Np: 0.396 0.176 0.792

=====

Entry 7:
## La8Nd5Y (PBE)

Data for a relaxed structure of La8Nd5Y.

Results
As for the formation energy: 219.6 meV per atom. For the magnetic moment, the calculation gives 0.00 Bohr magnetons per cell. The total energy is -66.649 eV per formula unit.

a b c (Å): 8.749 8.749 8.749
angles (deg): 110.66 107.12 110.66
Fractional positions:
La: 0.929 0.106 0.664
La: 0.177 0.735 0.071
La: 0.736 0.260 0.337
La: 0.525 0.601 0.264
La: 0.336 0.265 0.442
La: 0.077 0.740 0.475
La: 0.558 0.894 0.823
La: 0.663 0.399 0.923
Y: 0.250 0.500 0.750
Nd: 0.030 0.309 0.132
Nd: 0.500 0.000 0.500
Nd: 0.868 0.897 0.177
Nd: 0.280 0.103 0.970
Nd: 0.823 0.691 0.720

=====

Entry 8:
## Ta2AlAg (PBE)

Data for a relaxed structure of Ta2AlAg.

Results
As for the formation energy: 62.3 meV per atom. For the magnetic moment, the calculation gives 0.00 Bohr magnetons per cell. The excess energy over the best structure of this formula in the dataset comes out at 70 meV per atom. The total energy is -30.050 eV per formula unit.

a b c (Å): 4.429 3.952 3.952
angles (deg): 90.00 90.00 90.00
Fractional positions:
Ag: 0.500 0.500 0.000
Ta: 0.000 0.500 0.500
Ta: 0.000 0.000 0.000
Al: 0.500 0.000 0.500

=====

Entry 9:
## Ir5Br (PBE)

Data for a relaxed structure of Ir5Br.

Results
Its uncorrected formation energy is 0.781 eV/atom. For the magnetic moment, the calculation gives 0.00 Bohr magnetons per cell. The excess energy over the best structure of this formula in the dataset comes out at 260 meV per atom. The total energy is -41.294 eV per formula unit.

a b c (Å): 6.364 6.364 3.908
angles (deg): 90.00 90.00 143.93
Fractional positions:
Ir: 0.000 0.000 0.500
Ir: 0.327 0.673 0.500
Ir: 0.673 0.327 0.500
Ir: 0.824 0.176 0.000
Ir: 0.176 0.824 0.000
Br: 0.500 0.500 0.000

=====

Entry 10:
## Zr3Si2Ge (PBE)

Data for a relaxed structure of Zr3Si2Ge.

Results
Its uncorrected formation energy is -0.691 eV/atom. For the magnetic moment, the calculation gives 0.00 Bohr magnetons per cell. The total energy is -45.256 eV per formula unit.

a b c (Å): 3.871 10.488 10.983
angles (deg): 90.00 90.00 90.00
Fractional positions:
Zr: 0.750 0.207 0.286
Zr: 0.250 0.707 0.214
Zr: 0.250 0.120 0.544
Zr: 0.750 0.620 0.956
Zr: 0.250 0.434 0.381
Zr: 0.750 0.293 0.786
Zr: 0.250 0.793 0.714
Zr: 0.250 0.380 0.044
Zr: 0.250 0.066 0.881
Zr: 0.750 0.934 0.119
Zr: 0.750 0.880 0.456
Zr: 0.750 0.566 0.619
Si: 0.250 0.988 0.312
Si: 0.750 0.199 0.011
Si: 0.250 0.512 0.812
Si: 0.250 0.801 0.989
Si: 0.750 0.488 0.188
Si: 0.750 0.012 0.688
Si: 0.250 0.699 0.489
Si: 0.750 0.301 0.511
Ge: 0.750 0.875 0.871
Ge: 0.750 0.625 0.371
Ge: 0.250 0.375 0.629
Ge: 0.250 0.125 0.129

=====

Entry 11:
## Fe2CuRu (PBE)

Data for a relaxed structure of Fe2CuRu.

Results
As for the formation energy: 256.7 meV per atom. For the magnetic moment, the calculation gives 6.01 Bohr magnetons per cell. The excess energy over the best structure of this formula in the dataset comes out at 93 meV per atom. The total energy is -29.270 eV per formula unit.

a b c (Å): 4.150 4.150 4.150
angles (deg): 60.00 60.00 60.00
Fractional positions:
Fe: 0.250 0.250 0.250
Fe: 0.000 0.000 0.000
Cu: 0.500 0.500 0.500
Ru: 0.750 0.750 0.750

=====

Entry 12:
## Np2Al7 (PBE)

Data for a relaxed structure of Np2Al7.

Results
As for the formation energy: -52.3 meV per atom. For the magnetic moment, the calculation gives 0.25 Bohr magnetons per cell. The total energy is -52.550 eV per formula unit.

a b c (Å): 5.443 5.443 13.632
angles (deg): 78.48 78.48 60.00
Fractional positions:
Al: 0.000 0.500 0.000
Al: 0.611 0.611 0.167
Al: 0.613 0.107 0.668
Al: 0.500 0.000 0.000
Al: 0.107 0.613 0.668
Al: 0.722 0.722 0.835
Al: 0.500 0.500 0.000
Al: 0.389 0.389 0.833
Al: 0.613 0.613 0.668
Al: 0.387 0.893 0.332
Al: 0.278 0.278 0.165
Al: 0.387 0.387 0.332
Al: 0.893 0.387 0.332
Al: 0.500 0.500 0.500
Np: 0.051 0.051 0.846
Np: 0.949 0.949 0.154
Np: 0.847 0.847 0.458
Np: 0.153 0.153 0.542

=====

Entry 13:
## Pd2Pt2Au3 (PBE)

Data for a relaxed structure of Pd2Pt2Au3.

Results
As for the formation energy: -19.4 meV per atom. For the magnetic moment, the calculation gives 0.00 Bohr magnetons per cell. The excess energy over the best structure of this formula in the dataset comes out at 0 meV per atom. The total energy is -32.435 eV per formula unit.

a b c (Å): 6.509 4.026 7.517
angles (deg): 36.52 84.42 89.91
Fractional positions:
Pt: 0.434 0.427 0.715
Pt: 0.566 0.573 0.285
Pd: 0.707 0.713 0.858
Pd: 0.293 0.287 0.142
Au: 0.147 0.140 0.573
Au: 0.000 0.000 0.000
Au: 0.853 0.860 0.427

=====

Entry 14:
## TmThMgTi (PBE)

Data for a relaxed structure of TmThMgTi.

Results
As for the formation energy: 145.9 meV per atom. For the magnetic moment, the calculation gives 1.49 Bohr magnetons per cell. The total energy is -20.797 eV per formula unit.

a b c (Å): 5.250 5.250 5.250
angles (deg): 60.00 60.00 60.00
Fractional positions:
Ti: 0.250 0.250 0.250
Th: 0.000 0.000 0.000
Tm: 0.500 0.500 0.500
Mg: 0.750 0.750 0.750

=====

Entry 15:
## Mg14NiW (PBE)

Data for a relaxed structure of Mg14NiW.

Results
As for the formation energy: 141.3 meV per atom. For the magnetic moment, the calculation gives 0.00 Bohr magnetons per cell. The excess energy over the best structure of this formula in the dataset comes out at 0 meV per atom. The total energy is -38.798 eV per formula unit.

a b c (Å): 6.178 6.178 9.807
angles (deg): 90.00 90.00 120.00
Fractional positions:
Mg: 0.999 0.500 0.000
Mg: 0.500 0.001 0.000
Mg: 0.498 0.502 0.500
Mg: 0.667 0.333 0.253
Mg: 0.156 0.844 0.247
Mg: 0.667 0.333 0.747
Mg: 0.156 0.313 0.247
Mg: 0.498 0.996 0.500
Mg: 0.500 0.500 0.000
Mg: 0.156 0.844 0.753
Mg: 0.004 0.502 0.500
Mg: 0.156 0.313 0.753
Mg: 0.687 0.844 0.247
Mg: 0.687 0.844 0.753
W: 0.000 0.000 0.500
Ni: 0.000 0.000 0.000

=====

Entry 16:
## SiAs2Os (PBE)

Data for a relaxed structure of SiAs2Os.

Results
Its uncorrected formation energy is 0.564 eV/atom. For the magnetic moment, the calculation gives 0.00 Bohr magnetons per cell. The total energy is -23.697 eV per formula unit.

a b c (Å): 4.465 4.465 4.465
angles (deg): 60.00 60.00 60.00
Fractional positions:
As: 0.250 0.250 0.250
As: 0.000 0.000 0.000
Si: 0.750 0.750 0.750
Os: 0.500 0.500 0.500

=====

Entry 17:
## La2Sm3Dy8 (PBE)

Data for a relaxed structure of La2Sm3Dy8.

Results
As for the formation energy: 227.4 meV per atom. For the magnetic moment, the calculation gives 0.00 Bohr magnetons per cell. The excess energy over the best structure of this formula in the dataset comes out at 0 meV per atom. The total energy is -57.872 eV per formula unit.

a b c (Å): 6.993 9.576 9.576
angles (deg): 57.47 60.91 60.91
Fractional positions:
Sm: 0.000 0.824 0.176
Sm: 0.000 0.176 0.824
Sm: 0.500 0.000 0.000
Dy: 0.432 0.437 0.800
Dy: 0.568 0.200 0.563
Dy: 0.075 0.579 0.579
Dy: 0.432 0.800 0.437
Dy: 0.008 0.191 0.191
Dy: 0.925 0.421 0.421
Dy: 0.568 0.563 0.200
Dy: 0.992 0.809 0.809
La: 0.473 0.222 0.222
La: 0.527 0.778 0.778

=====

Entry 18:
## TlBi3Pb7 (PBE)

Data for a relaxed structure of TlBi3Pb7.

Results
As for the formation energy: 44.6 meV per atom. For the magnetic moment, the calculation gives 0.00 Bohr magnetons per cell. The total energy is -39.477 eV per formula unit.

a b c (Å): 8.526 7.035 7.035
angles (deg): 120.00 90.00 90.00
Fractional positions:
Pb: 0.461 0.331 0.165
Pb: 0.132 0.667 0.333
Pb: 0.461 0.835 0.669
Pb: 0.461 0.835 0.165
Pb: 0.102 0.166 0.332
Pb: 0.102 0.166 0.834
Pb: 0.102 0.668 0.834
Bi: 0.782 0.503 0.006
Bi: 0.782 0.503 0.497
Bi: 0.782 0.994 0.497
Tl: 0.447 0.333 0.667